Entry 1:
A relaxed structure of PrThPt2, computed with PBE.

Cell and atoms, written as CIF:
```
data_PrThPt2
_cell_length_a 4.1886
_cell_length_b 4.1886
_cell_length_c 20.9059
_cell_angle_alpha 90.00
_cell_angle_beta 90.00
_cell_angle_gamma 120.00
_space_group_name_H-M_alt 'R -3 m'
_space_group_IT_number 166
_space_group_name_Hall '-R 3 2"'
loop_
_atom_site_label
_atom_site_fract_x
_atom_site_fract_y
_atom_site_fract_z
Pr1 0.0000 0.0000 0.0000
Th1 0.0000 0.0000 0.5000
Pt1 0.0000 0.0000 0.2461
```


Entry 2:
A relaxed structure of PrThPt2, computed with PBE.

Cell and atoms, written as CIF:
```
data_PrThPt2
_cell_length_a 4.7118
_cell_length_b 7.3235
_cell_length_c 5.6471
_cell_angle_alpha 90.00
_cell_angle_beta 90.00
_cell_angle_gamma 90.00
_space_group_name_H-M_alt 'P m m n'
_space_group_IT_number 59
loop_
_space_group_symop_operation_xyz
'x,y,z'
'-x,-y,-z'
'-x+1/2,-y+1/2,z'
'x+1/2,y+1/2,-z'
'x+1/2,-y,-z'
'-x+1/2,y,z'
'-x,y+1/2,-z'
'x,-y+1/2,z'
loop_
_atom_site_label
_atom_site_fract_x
_atom_site_fract_y
_atom_site_fract_z
Pr1 0.2500 0.2500 0.2068
Th1 0.2500 0.7500 0.2624
Pt1 0.2500 0.0085 0.6804
```


Entry 3:
A relaxed structure of Pr3Th2Pt4, computed with PBE.

Cell and atoms, written as CIF:
```
data_Pr3Th2Pt4
_cell_length_a 7.1696
_cell_length_b 4.1399
_cell_length_c 17.2440
_cell_angle_alpha 90.00
_cell_angle_beta 90.03
_cell_angle_gamma 90.00
_space_group_name_H-M_alt 'C 1 2/m 1'
_space_group_IT_number 12
loop_
_space_group_symop_operation_xyz
'x,y,z'
'-x,-y,-z'
'-x,y,-z'
'x,-y,z'
'x+1/2,y+1/2,z'
'-x+1/2,-y+1/2,-z'
'-x+1/2,y+1/2,-z'
'x+1/2,-y+1/2,z'
loop_
_atom_site_label
_atom_site_fract_x
_atom_site_fract_y
_atom_site_fract_z
Pr1 0.0000 0.0000 0.0000
Pr2 0.1659 0.5000 0.5929
Th1 0.1672 0.5000 0.2066
Pt1 0.0007 0.0000 0.3068
Pt2 0.1664 0.5000 0.8914
```


Entry 4:
A relaxed structure of PrTh2Pt3, computed with PBE.

Cell and atoms, written as CIF:
```
data_PrTh2Pt3
_cell_length_a 8.3679
_cell_length_b 11.8884
_cell_length_c 25.4367
_cell_angle_alpha 90.00
_cell_angle_beta 90.00
_cell_angle_gamma 90.00
_space_group_name_H-M_alt 'F d d d'
_space_group_IT_number 70
loop_
_space_group_symop_operation_xyz
'x,y,z'
'-x,-y,-z'
'-x+1/4,-y+1/4,z'
'x+1/4,y+1/4,-z'
'x,-y+1/4,-z+1/4'
'-x,y+1/4,z+1/4'
'-x+1/4,y,-z+1/4'
'x+1/4,-y,z+1/4'
'x,y+1/2,z+1/2'
'-x,-y+1/2,-z+1/2'
'-x+1/4,-y+3/4,z+1/2'
'x+1/4,y+3/4,-z+1/2'
'x,-y+3/4,-z+3/4'
'-x,y+3/4,z+3/4'
'-x+1/4,y+1/2,-z+3/4'
'x+1/4,-y+1/2,z+3/4'
'x+1/2,y,z+1/2'
'-x+1/2,-y,-z+1/2'
'-x+3/4,-y+1/4,z+1/2'
'x+3/4,y+1/4,-z+1/2'
'x+1/2,-y+1/4,-z+3/4'
'-x+1/2,y+1/4,z+3/4'
'-x+3/4,y,-z+3/4'
'x+3/4,-y,z+3/4'
'x+1/2,y+1/2,z'
'-x+1/2,-y+1/2,-z'
'-x+3/4,-y+3/4,z'
'x+3/4,y+3/4,-z'
'x+1/2,-y+3/4,-z+1/4'
'-x+1/2,y+3/4,z+1/4'
'-x+3/4,y+1/2,-z+1/4'
'x+3/4,-y+1/2,z+1/4'
loop_
_atom_site_label
_atom_site_fract_x
_atom_site_fract_y
_atom_site_fract_z
Pr1 0.1250 0.1250 0.0415
Th1 0.1250 0.1250 0.3748
Th2 0.1250 0.1250 0.5419
Pt1 0.1183 0.3750 0.8750
Pt2 0.1208 0.3708 0.7068
```


E_tot (computed, eV for the cell shown): -86.7 -56.8 -124.8 -716.1
Energy of formation (computed, meV/atom): -1157 -1034 -1008 -1169